i:
## ZrCrOs (GGA-PBE)

Data for a geometry-optimized ZrCrOs structure.

Cell lengths 4.3510, 4.3510, 2.9008 Å; angles 90.00, 90.00, 120.00 degrees
Space group P3m1 (No. 156)
Inequivalent atoms, fractional coordinates:
Zr 0.0000 0.0000 0.0000 (multiplicity 1)
Cr 0.6667 0.3333 0.3483 (multiplicity 1)
Os 0.3333 0.6667 0.6308 (multiplicity 1)

***

ii:
## ZrCrOs (GGA-PBE)

Data for a geometry-optimized ZrCrOs structure.

Cell lengths 4.958, 8.409, 18.178 Å; angles 90.00, 90.00, 90.00 degrees
Space group Fddd (No. 70, origin choice 2)
Inequivalent atoms, fractional coordinates:
Zr 0.125 0.298 0.125 (multiplicity 16)
Cr 0.125 0.125 0.000 (multiplicity 16)
Os 0.125 0.125 0.553 (multiplicity 16)

***

iii:
## ZrCrOs (GGA-PBE)

Data for a geometry-optimized ZrCrOs structure.

Cell lengths 2.964, 2.964, 11.063 Å; angles 90.00, 90.00, 90.00 degrees
Space group I4mm (No. 107)
Inequivalent atoms, fractional coordinates:
Zr 0.000 0.000 0.000 (multiplicity 2)
Cr 0.000 0.000 0.313 (multiplicity 2)
Os 0.000 0.000 0.696 (multiplicity 2)

***

iv:
## ZrCrOs (GGA-PBE)

Data for a geometry-optimized ZrCrOs structure.

Cell lengths 6.216, 6.216, 6.216 Å; angles 90.00, 90.00, 90.00 degrees
Space group F-43m (No. 216)
Inequivalent atoms, fractional coordinates:
Zr 0.000 0.000 0.000 (multiplicity 4)
Cr 0.250 0.250 0.750 (multiplicity 4)
Os 0.250 0.250 0.250 (multiplicity 4)

***

The structure with the most favorable energy is iii; the runner-up is 133 meV per atom above it.

***

i:
## ZrCrOs (GGA-PBE)

Data for a geometry-optimized ZrCrOs structure.

Cell lengths 6.150, 6.150, 6.150 Å; angles 90.00, 90.00, 90.00 degrees
Space group F-43m (No. 216)
Inequivalent atoms, fractional coordinates:
Zr 0.000 0.000 0.000 (multiplicity 4)
Cr 0.000 0.000 0.500 (multiplicity 4)
Os 0.250 0.250 0.750 (multiplicity 4)

***

ii:
## ZrCrOs (GGA-PBE)

Data for a geometry-optimized ZrCrOs structure.

Cell lengths 4.923, 5.426, 7.206 Å; angles 90.00, 90.00, 90.00 degrees
Space group Imma (No. 74)
Inequivalent atoms, fractional coordinates:
Zr 0.000 0.250 0.122 (multiplicity 4)
Cr 0.250 0.250 0.750 (multiplicity 4)
Os 0.000 0.000 0.500 (multiplicity 4)

***

The structure with the most favorable energy is ii; the runner-up is 690 meV per atom above it.

***

i:
## ZrCr2Os2 (GGA-PBE)

Data for a geometry-optimized ZrCr2Os2 structure.

Cell lengths 7.312, 7.312, 2.782 Å; angles 90.00, 90.00, 90.00 degrees
Space group P4/mbm (No. 127)
Inequivalent atoms, fractional coordinates:
Zr 0.000 0.000 0.000 (multiplicity 2)
Cr 0.149 0.351 0.000 (multiplicity 4)
Os 0.146 0.646 0.500 (multiplicity 4)

***

ii:
## ZrCr2Os2 (GGA-PBE)

Data for a geometry-optimized ZrCr2Os2 structure.

Cell lengths 4.029, 4.029, 10.173 Å; angles 90.00, 90.00, 90.00 degrees
Space group I4/mmm (No. 139)
Inequivalent atoms, fractional coordinates:
Zr 0.000 0.000 0.000 (multiplicity 2)
Cr 0.000 0.500 0.250 (multiplicity 4)
Os 0.000 0.000 0.377 (multiplicity 4)

***

The structure with the most favorable energy is i; the runner-up is 6 meV per atom above it.